Np2ReC after structural relaxation, computed with PBE.

## Properties
As for the formation energy: 0.600 eV per atom. The spin magnetization is 0.858 μB per atom. For the total energy, the calculation gives -135.5 eV per cell.

Cell lengths 3.0162, 3.0162, 24.5915 Å; angles 90.00, 90.00, 120.00 degrees
Space group R-3m (No. 166, hexagonal axes)
Unique sites:
Np1 0.0000 0.0000 0.1034 x6
Re1 0.0000 0.0000 0.0000 x3
C1 0.0000 0.0000 0.5000 x3

ZnPRhSe after structural relaxation, computed with PBE.

## Properties
The spin magnetization is 0.000 μB per atom. For the total energy, the calculation gives -56.8 eV per cell.

Cell lengths 3.6056, 3.6056, 19.7109 Å; angles 90.00, 90.00, 120.00 degrees
Space group R3m (No. 160, hexagonal axes)
Unique sites:
Zn1 0.0000 0.0000 0.0000 x3
P1 0.0000 0.0000 0.8828 x3
Rh1 0.0000 0.0000 0.1613 x3
Se1 0.0000 0.0000 0.4019 x3

Ho3Ga4Au4 after structural relaxation, computed with PBE.

## Properties
As for the formation energy: -0.684 eV per atom. The spin magnetization is 0.000 μB per atom. For the total energy, the calculation gives -92.9 eV per cell.

Cell lengths 3.569, 4.582, 27.335 Å; angles 90.00, 90.00, 90.00 degrees
Space group Immm (No. 71)
Unique sites:
Ho1 0.000 0.000 0.000 x2
Ho2 0.000 0.500 0.142 x4
Ga1 0.000 0.000 0.453 x4
Ga2 0.000 0.500 0.312 x4
Au1 0.000 0.000 0.267 x4
Au2 0.000 0.500 0.407 x4

Tl2ZnP after structural relaxation, computed with PBE.

## Properties
As for the formation energy: 0.242 eV per atom. The spin magnetization is 0.000 μB per atom. For the total energy, the calculation gives -31.3 eV per cell.

Cell lengths 4.2129, 4.2129, 19.7344 Å; angles 90.00, 90.00, 120.00 degrees
Space group R-3m (No. 166, hexagonal axes)
Unique sites:
Tl1 0.0000 0.0000 0.2427 x6
Zn1 0.0000 0.0000 0.0000 x3
P1 0.0000 0.0000 0.5000 x3

V2CoAsC after structural relaxation, computed with PBE.

## Properties
As for the formation energy: 1.691 eV per atom. The spin magnetization is 0.003 μB per atom. For the total energy, the calculation gives -30.8 eV per cell.

Cell lengths 4.365, 4.365, 4.135 Å; angles 90.00, 90.00, 90.00 degrees
Space group P4/mmm (No. 123)
Unique sites:
V1 0.000 0.500 0.000 x2
Co1 0.000 0.000 0.000 x1
As1 0.000 0.000 0.500 x1
C1 0.500 0.500 0.500 x1

Pr12DyY6 after structural relaxation, computed with PBE.

## Properties
As for the formation energy: 0.127 eV per atom. The spin magnetization is 0.000 μB per atom. For the total energy, the calculation gives -295.0 eV per cell.

Cell lengths 12.3099, 12.3099, 15.4065 Å; angles 90.00, 90.00, 120.00 degrees
Space group R-3 (No. 148, hexagonal axes)
Unique sites:
Pr1 0.0014 0.1722 0.1919 x18
Pr2 0.0484 0.1983 0.4164 x18
Dy1 0.0000 0.0000 0.0000 x3
Y1 0.0167 0.5885 0.6882 x18

Ag4Pd3Au after structural relaxation, computed with PBE.

## Properties
As for the formation energy: -0.019 eV per atom. The spin magnetization is 0.000 μB per atom. For the total energy, the calculation gives -60.8 eV per cell.

Cell lengths 3.027, 4.732, 18.975 Å; angles 90.00, 90.00, 90.00 degrees
Space group Immm (No. 71)
Unique sites:
Ag1 0.000 0.000 0.125 x4
Ag2 0.000 0.000 0.372 x4
Pd1 0.000 0.500 0.252 x4
Pd2 0.000 0.500 0.500 x2
Au1 0.000 0.500 0.000 x2

ReAu after structural relaxation, computed with PBE.

## Properties
As for the formation energy: 0.494 eV per atom. The spin magnetization is 0.000 μB per atom. For the total energy, the calculation gives -117.9 eV per cell.

Cell lengths 9.990, 4.546, 5.736 Å; angles 90.00, 90.00, 90.00 degrees
Space group Pnma (No. 62)
Unique sites:
Re1 0.085 0.250 0.001 x4
Re2 0.151 0.750 0.783 x4
Au1 0.087 0.250 0.501 x4
Au2 0.172 0.750 0.263 x4

Ac2GeBiO6 after structural relaxation, computed with PBE.

## Properties
The spin magnetization is 0.000 μB per atom. For the total energy, the calculation gives -68.1 eV per cell.

Cell lengths 5.725, 5.725, 5.222 Å; angles 90.00, 90.00, 90.00 degrees
Space group P4mm (No. 99)
Unique sites:
Ac1 0.000 0.500 0.000 x2
Ge1 0.000 0.000 0.594 x1
Bi1 0.500 0.500 0.539 x1
O1 0.000 0.000 0.249 x1
O2 0.225 0.225 0.717 x4
O3 0.500 0.500 0.093 x1

Gd2ScNi after structural relaxation, computed with PBE.

## Properties
As for the formation energy: -0.019 eV per atom. The spin magnetization is 3.534 μB per atom. For the total energy, the calculation gives -121.0 eV per cell.

Cell lengths 3.5860, 3.5860, 27.6751 Å; angles 90.00, 90.00, 120.00 degrees
Space group R-3m (No. 166, hexagonal axes)
Unique sites:
Gd1 0.0000 0.0000 0.2322 x6
Sc1 0.0000 0.0000 0.0000 x3
Ni1 0.0000 0.0000 0.5000 x3

KCd12Ag6 after structural relaxation, computed with PBE.

## Properties
As for the formation energy: -0.009 eV per atom. The spin magnetization is 0.000 μB per atom. For the total energy, the calculation gives -88.1 eV per cell.

Cell lengths 12.6505, 12.6505, 9.7152 Å; angles 90.00, 90.00, 120.00 degrees
Space group R-3m (No. 166, hexagonal axes)
Unique sites:
K1 0.0000 0.0000 0.0000 x3
Cd1 0.0000 0.3863 0.5000 x18
Cd2 0.0863 0.1725 0.3047 x18
Ag1 0.0568 0.5284 0.2438 x18

HfMg2TlP after structural relaxation, computed with PBE.

## Properties
As for the formation energy: 1.354 eV per atom. The spin magnetization is 0.000 μB per atom. For the total energy, the calculation gives -14.1 eV per cell.

Cell lengths 5.583, 5.583, 5.497 Å; angles 90.00, 90.00, 90.00 degrees
Space group P4/mmm (No. 123)
Unique sites:
Hf1 0.000 0.000 0.000 x1
Mg1 0.000 0.500 0.000 x2
Tl1 0.000 0.000 0.500 x1
P1 0.500 0.500 0.500 x1